# K2SnBSe4 PBE relaxed
# Energy relative to the elements, uncorrected, eV/atom: -0.532
# Theoretical density, g/cm3: 3.27
data_K2SnBSe4
_chemical_formula_sum 'K16 Sn8 B8 Se32'
_symmetry_space_group_name_H-M 'F d d d'
_symmetry_Int_Tables_number 70
_cell_length_a 6.345
_cell_length_b 13.853
_cell_length_c 24.202
_cell_angle_alpha 90.00
_cell_angle_beta 90.00
_cell_angle_gamma 90.00
loop_
_symmetry_equiv_pos_as_xyz
'x,y,z'
'-x,-y,-z'
'-x+1/4,-y+1/4,z'
'x+1/4,y+1/4,-z'
'x,-y+1/4,-z+1/4'
'-x,y+1/4,z+1/4'
'-x+1/4,y,-z+1/4'
'x+1/4,-y,z+1/4'
'x,y+1/2,z+1/2'
'-x,-y+1/2,-z+1/2'
'-x+1/4,-y+3/4,z+1/2'
'x+1/4,y+3/4,-z+1/2'
'x,-y+3/4,-z+3/4'
'-x,y+3/4,z+3/4'
'-x+1/4,y+1/2,-z+3/4'
'x+1/4,-y+1/2,z+3/4'
'x+1/2,y,z+1/2'
'-x+1/2,-y,-z+1/2'
'-x+3/4,-y+1/4,z+1/2'
'x+3/4,y+1/4,-z+1/2'
'x+1/2,-y+1/4,-z+3/4'
'-x+1/2,y+1/4,z+3/4'
'-x+3/4,y,-z+3/4'
'x+3/4,-y,z+3/4'
'x+1/2,y+1/2,z'
'-x+1/2,-y+1/2,-z'
'-x+3/4,-y+3/4,z'
'x+3/4,y+3/4,-z'
'x+1/2,-y+3/4,-z+1/4'
'-x+1/2,y+3/4,z+1/4'
'-x+3/4,y+1/2,-z+1/4'
'x+3/4,-y+1/2,z+1/4'
loop_
_atom_site_label
_atom_site_fract_x
_atom_site_fract_y
_atom_site_fract_z
K1 0.125 0.125 0.310
Sn1 0.125 0.125 0.125
B1 0.125 0.125 0.625
Se1 0.058 0.283 0.824